Here is a relaxed structure of CdNCl2 from Alexandria. Energies are from PBE.

The structure in POSCAR format:
```
CdNCl2
1.0
0.000 3.377 3.377
3.377 0.000 3.377
3.377 3.377 0.000
Cd N Cl
1 1 2
direct
0.000 0.000 0.000 Cd
0.500 0.500 0.500 N
0.250 0.250 0.250 Cl
0.750 0.750 0.750 Cl
```

The energy above the most stable polymorph in this dataset comes out at 0.260 eV per atom. Its uncorrected formation energy is 3.0 eV/f.u. The calculation puts the theoretical density at 4.25 Mg/m³. The symmetry is No. 225.

Here is a relaxed structure of CaPm5Y4 from Alexandria. Energies are from PBE.

The structure in POSCAR format:
```
CaPm5Y4
1.0
3.634 0.000 0.000
0.000 3.634 0.000
0.000 0.000 25.839
Ca Pm Y
1 5 4
direct
0.000 0.000 0.000 Ca
0.500 0.500 0.109 Pm
0.500 0.500 0.304 Pm
0.500 0.500 0.500 Pm
0.500 0.500 0.696 Pm
0.500 0.500 0.891 Pm
0.000 0.000 0.204 Y
0.000 0.000 0.402 Y
0.000 0.000 0.598 Y
0.000 0.000 0.796 Y
```

The calculation puts the theoretical density at 5.45 Mg/m³. The symmetry is No. 123. For the total energy, the calculation gives -5.133 eV/atom.

Here is a relaxed structure of Ba2TiW from Alexandria. Energies are from PBE.

The structure in POSCAR format:
```
Ba2TiW
1.0
-6.242 6.242 2.345
6.242 -6.242 2.345
6.242 6.242 -2.345
Ba Ti W
4 2 2
direct
0.375 0.071 0.196 Ba
0.821 0.625 0.696 Ba
0.875 0.179 0.804 Ba
0.929 0.125 0.304 Ba
0.250 0.750 0.500 Ti
0.500 0.500 0.000 Ti
0.000 0.000 0.000 W
0.750 0.250 0.500 W
```

The energy above the most stable polymorph in this dataset comes out at 0.000 eV per atom. The calculation puts the theoretical density at 4.60 Mg/m³. The symmetry is No. 122.

Here is a relaxed structure of SrTcRu2 from Alexandria. Energies are from PBE.

The structure in POSCAR format:
```
SrTcRu2
1.0
-1.437 2.452 5.110
1.437 -2.452 5.110
1.437 2.452 -5.110
Sr Tc Ru
1 1 2
direct
0.000 0.000 0.000 Sr
0.286 0.786 0.500 Tc
0.499 0.499 0.000 Ru
0.716 0.216 0.500 Ru
```

The energy above the most stable polymorph in this dataset comes out at 0.219 eV per atom. The calculation puts the theoretical density at 8.94 Mg/m³. The symmetry is No. 44.